A relaxed Mn3In2I8 crystal, computed with PBE.

Calculated total energy   -3.8958 eV per atom
SG   No. 12
Formation energy without anion corrections   -0.405 eV per atom
Magnetization   15.00 Bohr magnetons per cell

abc: 7.3830 9.1144 9.1144
angles: 56.83 89.13 89.13
Last column: nearest neighbours and their distance in Å.
Atoms (fractional coordinates):
Mn 0.5000 0.0000 0.0000  6 I 2.91-2.92
Mn 0.0000 0.7443 0.2557  6 I 2.88-3.01
Mn 0.0000 0.2557 0.7443  6 I 2.88-3.01
In 0.4827 0.7312 0.7312  5 I 3.33-3.55
In 0.5173 0.2688 0.2688  5 I 3.33-3.55
I 0.8723 0.3941 0.3941  2 Mn 2.88
I 0.1277 0.6059 0.6059  2 Mn 2.88
I 0.8341 0.8997 0.8997  3 Mn 2.92-3.01
I 0.1659 0.1003 0.1003  3 Mn 2.92-3.01
I 0.6722 0.3354 0.8663  2 Mn 2.89-2.91
I 0.6722 0.8663 0.3354  2 Mn 2.89-2.91
I 0.3278 0.1337 0.6646  2 Mn 2.89-2.91
I 0.3278 0.6646 0.1337  2 Mn 2.89-2.91